(one)
6
Lattice="-0.061 1.100 -3.244 -3.395 -1.337 -0.390 -2.870 6.311 3.352" Properties=species:S:1:pos:R:3 comment="ZrNiS (PBE, optimized geometry)" vol_a3_per_cell=95.81 crystal_system=monoclinic magmom_total_mub_per_cell=0.0 space_group="No. 6" pbc="T T T"
S -3.340 3.359 0.300
S -2.246 1.267 -2.056
Zr -0.932 2.344 0.074
Zr -4.177 4.931 2.200
Ni -2.026 5.055 0.307
Ni -0.073 0.828 -2.207


(two)
6
Lattice="4.027 0.000 0.000 2.014 3.488 0.000 2.014 1.163 8.794" Properties=species:S:1:pos:R:3 comment="ZrNiS (PBE, optimized geometry)" vol_a3_per_cell=123.52 crystal_system=trigonal magmom_total_mub_per_cell=0.0 space_group="No. 166" pbc="T T T"
Zr 4.027 2.325 2.774
Zr 4.027 2.325 6.020
S 6.041 3.488 7.132
S 2.014 1.163 1.662
Ni 2.014 1.163 4.087
Ni 6.041 3.488 4.707


Most stable structure - (one); separation to the second - 35 meV per atom.


(one)
16
Lattice="3.714 0.000 0.000 0.000 5.943 0.000 0.000 0.000 12.629" Properties=species:S:1:pos:R:3 comment="ZrNiS2 (PBE, optimized geometry)" vol_a3_per_cell=278.78 crystal_system=orthorhombic magmom_total_mub_per_cell=0.0 space_group="No. 62" pbc="T T T"
S 2.786 1.566 5.647
S 0.929 4.537 0.668
S 2.786 4.491 3.671
S 0.929 1.452 8.958
S 0.929 1.520 2.643
S 2.786 4.424 9.985
S 2.786 1.406 11.961
S 0.929 4.378 6.982
Zr 2.786 2.859 1.512
Zr 0.929 5.831 4.802
Zr 2.786 0.112 7.827
Zr 0.929 3.084 11.117
Ni 2.786 5.032 12.145
Ni 2.786 3.883 5.831
Ni 0.929 2.060 6.798
Ni 0.929 0.911 0.484


(two)
4
Lattice="5.195 4.686 2.831 6.932 1.507 2.575 6.604 3.637 -0.347" Properties=species:S:1:pos:R:3 comment="ZrNiS2 (PBE, optimized geometry)" vol_a3_per_cell=82.79 crystal_system=trigonal magmom_total_mub_per_cell=0.0 space_group="No. 166" pbc="T T T"
S 16.916 8.878 4.568
S 1.815 0.952 0.490
Zr 9.365 4.915 2.529
Ni 0.000 0.000 0.000


(three)
8
Lattice="5.347 0.000 0.000 0.000 5.347 0.000 2.673 2.673 5.564" Properties=species:S:1:pos:R:3 comment="ZrNiS2 (PBE, optimized geometry)" vol_a3_per_cell=159.06 crystal_system=tetragonal magmom_total_mub_per_cell=0.0 space_group="No. 122" pbc="T T T"
Zr 0.000 0.000 0.000
Zr 5.347 2.673 2.782
Ni 2.673 2.673 0.000
Ni 2.673 5.347 2.782
S 4.010 4.216 4.173
S 6.683 6.478 4.173
S 3.804 1.337 1.391
S 1.542 4.010 1.391


(four)
8
Lattice="-1.662 -2.543 1.993 -4.244 -0.838 -4.610 5.167 -4.181 -1.026" Properties=species:S:1:pos:R:3 comment="ZrNiS2 (PBE, optimized geometry)" vol_a3_per_cell=146.23 crystal_system=monoclinic magmom_total_mub_per_cell=0.0 space_group="No. 11" pbc="T T T"
S -0.719 -4.619 -4.838
S 0.504 -5.474 -1.598
S -1.242 -2.088 -2.045
S -0.020 -2.944 1.195
Zr -3.514 -1.376 -3.031
Zr 2.776 -6.186 -0.612
Ni -0.827 -3.875 -0.667
Ni 0.089 -3.687 -2.976


Most stable structure - (one); separation to the second - 110 meV per atom.


(one)
5
Lattice="4.760 0.000 0.000 0.000 4.760 0.000 0.000 0.000 4.760" Properties=species:S:1:pos:R:3 comment="Zr3NiS (PBE, optimized geometry)" vol_a3_per_cell=107.87 crystal_system=cubic magmom_total_mub_per_cell=0.0 space_group="No. 221" pbc="T T T"
S 0.000 0.000 0.000
Zr 2.380 0.000 0.000
Zr 0.000 0.000 2.380
Zr 0.000 2.380 0.000
Ni 2.380 2.380 2.380


(two)
20
Lattice="-0.313 -2.807 -2.221 6.331 -2.576 2.362 -6.845 -7.382 10.296" Properties=species:S:1:pos:R:3 comment="Zr3NiS (PBE, optimized geometry)" vol_a3_per_cell=374.18 crystal_system=orthorhombic magmom_total_mub_per_cell=0.0 space_group="No. 62" pbc="T T T"
Zr 3.443 -6.243 5.952
Zr -4.270 -6.522 4.486
Zr -0.819 -7.840 8.572
Zr 0.165 -2.915 -0.698
Zr -1.607 -5.810 6.117
Zr -3.215 -10.085 8.841
Zr 0.780 -6.954 4.320
Zr 2.387 -2.680 1.597
Zr -0.008 -4.925 1.866
Zr -0.993 -9.849 11.136
Zr 3.407 -5.943 2.672
Zr -4.234 -6.821 7.766
S -1.731 -6.037 3.515
S 4.126 -4.423 0.648
S -4.953 -8.342 9.790
S 0.903 -6.728 6.923
Ni -2.540 -8.329 6.526
Ni 0.001 -10.290 8.646
Ni -0.829 -2.475 1.792
Ni 1.713 -4.436 3.912


Most stable structure - (two); separation to the second - 586 meV per atom.


(one)
4
Lattice="-0.503 -2.927 -1.155 4.952 -1.329 1.212 -4.033 0.310 5.366" Properties=species:S:1:pos:R:3 comment="NiSb3 (PBE, optimized geometry)" vol_a3_per_cell=100.27 crystal_system=orthorhombic magmom_total_mub_per_cell=0.0 space_group="No. 44" pbc="T T T"
Sb 1.829 -2.022 -0.068
Sb 0.506 -1.716 4.127
Sb -1.549 -1.839 0.939
Ni 0.203 -0.055 0.050


(two)
4
Lattice="4.982 0.002 0.000 -1.081 4.864 0.000 0.000 0.000 3.800" Properties=species:S:1:pos:R:3 comment="NiSb3 (PBE, optimized geometry)" vol_a3_per_cell=92.10 crystal_system=orthorhombic magmom_total_mub_per_cell=0.0 space_group="No. 65" pbc="T T T"
Sb 1.951 2.433 0.000
Sb -0.540 2.432 1.900
Sb 2.491 0.001 1.900
Ni 0.000 0.000 0.000


Most stable structure - (one); separation to the second - 382 meV per atom.


(one)
4
Lattice="3.940 -0.008 0.021 1.961 3.418 0.021 1.981 1.144 6.934" Properties=species:S:1:pos:R:3 comment="NiSb3 (PBE, optimized geometry)" vol_a3_per_cell=93.32 crystal_system=monoclinic magmom_total_mub_per_cell=0.0 space_group="No. 12" pbc="T T T"
Ni 0.000 0.000 0.000
Sb 5.916 3.418 5.649
Sb 1.966 1.136 1.327
Sb 3.941 2.277 3.488


(two)
4
Lattice="3.749 0.000 0.000 0.000 3.383 0.000 0.000 0.000 7.645" Properties=species:S:1:pos:R:3 comment="NiSb3 (PBE, optimized geometry)" vol_a3_per_cell=96.98 crystal_system=orthorhombic magmom_total_mub_per_cell=0.0 space_group="No. 25" pbc="T T T"
Sb 1.875 0.000 3.956
Sb 1.875 1.692 6.740
Sb 0.000 1.692 2.010
Ni 0.000 0.000 0.036


(three)
4
Lattice="5.016 0.015 0.026 -1.686 4.724 0.026 -1.686 -2.399 4.070" Properties=species:S:1:pos:R:3 comment="NiSb3 (PBE, optimized geometry)" vol_a3_per_cell=97.16 crystal_system=cubic magmom_total_mub_per_cell=0.0 space_group="No. 229" pbc="T T T"
Sb 1.665 -1.192 2.048
Sb -1.686 1.163 2.048
Sb 1.665 2.369 0.026
Ni 0.000 0.000 0.000


(four)
4
Lattice="-0.106 -3.815 -2.423 3.067 -1.841 2.764 -3.319 -1.580 2.632" Properties=species:S:1:pos:R:3 comment="NiSb3 (PBE, optimized geometry)" vol_a3_per_cell=92.40 crystal_system=cubic magmom_total_mub_per_cell=0.0 space_group="No. 221" pbc="T T T"
Sb -0.126 -1.710 2.698
Sb 1.481 -2.828 0.170
Sb -1.712 -2.697 0.104
Ni 0.000 0.000 0.000


Most stable structure - (one); separation to the second - 117 meV per atom.


(one)
18
Lattice="-0.016 7.610 0.589 -3.168 -4.259 5.484 5.229 -0.210 2.858" Properties=species:S:1:pos:R:3 comment="Ni5Sb4 (PBE, optimized geometry)" vol_a3_per_cell=300.79 crystal_system=hexagonal magmom_total_mub_per_cell=0.0 space_group="No. 193" pbc="T T T"
Sb 1.949 -2.809 5.558
Sb 2.719 1.107 4.435
Sb -0.676 2.034 4.495
Sb 0.111 -1.660 2.784
Sb 1.301 2.820 0.937
Sb 0.000 0.000 0.000
Sb 2.614 -0.105 1.429
Sb 3.911 4.580 2.510
Ni 0.349 0.956 2.542
Ni -1.067 3.653 2.221
Ni -0.908 -3.029 4.548
Ni 2.968 -1.439 3.794
Ni -2.118 -0.303 3.852
Ni 3.917 2.133 2.320
Ni 1.695 2.185 6.389
Ni 0.497 -0.407 5.281
Ni 1.296 5.267 1.126
Ni 1.547 3.549 3.649


(two)
9
Lattice="-4.405 4.405 1.936 4.405 -4.405 1.936 4.405 4.405 -1.936" Properties=species:S:1:pos:R:3 comment="Ni5Sb4 (PBE, optimized geometry)" vol_a3_per_cell=150.26 crystal_system=tetragonal magmom_total_mub_per_cell=0.0 space_group="No. 139" pbc="T T T"
Ni 1.472 1.472 1.936
Ni 2.933 2.933 0.000
Ni -1.472 1.472 1.936
Ni 1.472 -1.472 1.936
Ni 0.000 0.000 0.000
Sb 2.516 0.000 0.000
Sb 0.000 2.516 0.000
Sb 0.000 6.294 0.000
Sb 6.294 0.000 0.000


Most stable structure - (two); separation to the second - 118 meV per atom.


(one)
14
Lattice="-2.595 4.470 -1.613 -2.811 0.331 5.439 2.925 3.416 4.762" Properties=species:S:1:pos:R:3 comment="Ni5Sb2 (PBE, optimized geometry)" vol_a3_per_cell=192.16 crystal_system=orthorhombic magmom_total_mub_per_cell=0.0 space_group="No. 66" pbc="T T T"
Ni -0.427 6.934 6.271
Ni -2.055 1.283 2.316
Ni -1.121 3.204 6.139
Ni -3.733 5.526 3.141
Ni -1.633 5.113 7.708
Ni -2.419 5.440 5.332
Ni -0.063 2.778 3.255
Ni -0.849 3.104 0.880
Ni 1.251 2.692 5.447
Ni -1.361 5.013 2.449
Sb 0.138 5.032 4.634
Sb -2.620 3.185 3.953
Sb 0.341 0.754 1.542
Sb -2.823 7.463 7.046


(two)
14
Lattice="-1.734 6.379 2.445 -5.383 2.596 3.737 1.124 0.957 5.979" Properties=species:S:1:pos:R:3 comment="Ni5Sb2 (PBE, optimized geometry)" vol_a3_per_cell=191.65 crystal_system=monoclinic magmom_total_mub_per_cell=0.0 space_group="No. 12" pbc="T T T"
Ni -1.696 4.156 7.383
Ni -5.271 6.303 9.265
Ni -0.723 3.629 2.896
Ni -0.058 1.485 4.185
Ni -4.473 3.539 3.415
Ni -2.644 5.436 2.767
Ni -5.935 8.448 7.976
Ni -3.439 8.202 8.616
Ni -2.554 1.730 3.545
Ni -4.297 5.776 4.778
Sb -3.620 5.984 7.300
Sb -0.734 1.283 1.684
Sb -2.374 3.949 4.861
Sb -5.260 8.650 10.477


Most stable structure - (two); separation to the second - 30 meV per atom.


(one)
12
Lattice="-1.936 1.167 -2.970 -0.253 -3.519 -1.217 -9.470 -1.281 5.671" Properties=species:S:1:pos:R:3 comment="ScNi9Sb2 (PBE, optimized geometry)" vol_a3_per_cell=154.82 crystal_system=tetragonal magmom_total_mub_per_cell=0.0 space_group="No. 123" pbc="T T T"
Ni -8.009 -2.826 4.112
Ni -8.851 -0.483 3.236
Ni -2.555 0.369 -0.535
Ni -1.714 -1.974 0.342
Ni -5.703 -0.057 1.351
Ni -1.095 -1.176 -2.094
Ni -4.862 -2.400 2.227
Ni -4.285 -1.608 -0.183
Ni -7.374 -2.025 1.667
Sb -3.128 -0.423 1.873
Sb -6.342 -0.858 3.798
Sc 0.000 0.000 0.000


(two)
12
Lattice="4.817 0.000 0.000 2.409 4.172 0.000 2.409 1.391 8.190" Properties=species:S:1:pos:R:3 comment="ScNi9Sb2 (PBE, optimized geometry)" vol_a3_per_cell=164.61 crystal_system=trigonal magmom_total_mub_per_cell=0.8 space_group="No. 166" pbc="T T T"
Ni 3.610 2.084 1.998
Ni 6.025 2.084 1.998
Ni 2.409 1.391 0.002
Ni 3.610 3.479 6.192
Ni 6.025 3.479 6.192
Ni 4.817 4.176 1.998
Ni 4.817 2.781 4.095
Ni 4.817 1.387 6.192
Ni 7.226 4.172 8.189
Sb 7.226 4.172 3.161
Sb 2.409 1.391 5.029
Sc 0.000 0.000 0.000


Most stable structure - (one); separation to the second - 95 meV per atom.


(one)
5
Lattice="5.005 0.000 0.000 0.000 5.005 0.000 0.000 0.000 5.005" Properties=species:S:1:pos:R:3 comment="ScNiSb3 (PBE, optimized geometry)" vol_a3_per_cell=125.37 crystal_system=cubic magmom_total_mub_per_cell=0.0 space_group="No. 221" pbc="T T T"
Sb 0.000 0.000 2.502
Sb 2.502 0.000 0.000
Sb 0.000 2.502 0.000
Ni 0.000 0.000 0.000
Sc 2.502 2.502 2.502


(two)
5
Lattice="5.393 0.000 0.000 0.000 5.393 0.000 0.000 0.000 5.393" Properties=species:S:1:pos:R:3 comment="ScNiSb3 (PBE, optimized geometry)" vol_a3_per_cell=156.86 crystal_system=cubic magmom_total_mub_per_cell=0.4 space_group="No. 221" pbc="T T T"
Sb 2.697 0.000 0.000
Sb 0.000 0.000 2.697
Sb 0.000 2.697 0.000
Ni 2.697 2.697 2.697
Sc 0.000 0.000 0.000


Most stable structure - (one); separation to the second - 626 meV per atom.


(one)
5
Lattice="-0.704 -4.679 -2.356 3.424 -2.210 3.366 -3.965 -1.077 3.325" Properties=species:S:1:pos:R:3 comment="NiSbSe3 (PBE, optimized geometry)" vol_a3_per_cell=147.69 crystal_system=cubic magmom_total_mub_per_cell=1.8 space_group="No. 221" pbc="T T T"
Se 1.712 -1.105 1.683
Se -1.983 -0.539 1.663
Se -0.352 -2.340 -1.178
Sb 0.000 0.000 0.000
Ni -0.623 -3.983 2.168


(two)
5
Lattice="4.734 0.000 0.000 0.000 4.734 0.000 0.000 0.000 4.734" Properties=species:S:1:pos:R:3 comment="NiSbSe3 (PBE, optimized geometry)" vol_a3_per_cell=106.11 crystal_system=cubic magmom_total_mub_per_cell=0.0 space_group="No. 221" pbc="T T T"
Se 2.367 0.000 0.000
Se 0.000 0.000 2.367
Se 0.000 2.367 0.000
Ni 0.000 0.000 0.000
Sb 2.367 2.367 2.367


Most stable structure - (two); separation to the second - 767 meV per atom.